Computed, not measured: a relaxed Na3CoO3 crystal at the GGA-PBEsol level of DFT. Values from VASP.

density of states at the Fermi level: 3.6 states/eV/f.u.
formation energy (no corrections): -859 kJ/mol of formula units

Cell and atoms, written as Quantum ESPRESSO input:
```
&SYSTEM
  ibrav = 0, nat = 28, ntyp = 3
/
ATOMIC_SPECIES
Na 22.99 Na.upf
Co 58.93 Co.upf
O 16.00 O.upf
ATOMIC_POSITIONS crystal
Na 0.119 0.365 0.000
Na 0.135 0.619 0.500
Na 0.140 0.860 0.000
Na 0.360 0.360 0.500
Na 0.365 0.119 0.000
Na 0.381 0.865 0.500
Na 0.619 0.135 0.500
Na 0.635 0.881 0.000
Na 0.640 0.640 0.500
Na 0.860 0.140 0.000
Na 0.865 0.381 0.500
Na 0.881 0.635 0.000
Co 0.115 0.115 0.500
Co 0.385 0.615 0.000
Co 0.615 0.385 0.000
Co 0.885 0.885 0.500
O 0.093 0.907 0.500
O 0.106 0.314 0.500
O 0.186 0.606 0.000
O 0.314 0.106 0.500
O 0.394 0.814 0.000
O 0.407 0.407 0.000
O 0.593 0.593 0.000
O 0.606 0.186 0.000
O 0.686 0.894 0.500
O 0.814 0.394 0.000
O 0.894 0.686 0.500
O 0.907 0.093 0.500
CELL_PARAMETERS angstrom
8.887 0.000 0.000
0.000 8.887 0.000
0.000 0.000 4.533
```

***

Computed, not measured: a relaxed Na5CoO4 crystal at the GGA-PBEsol level of DFT. Values from VASP.

density of states at the Fermi level: 6.0 states/eV/f.u.
formation energy (no corrections): -1188 kJ/mol of formula units

Cell and atoms, written as Quantum ESPRESSO input:
```
&SYSTEM
  ibrav = 0, nat = 80, ntyp = 3
/
ATOMIC_SPECIES
Na 22.99 Na.upf
Co 58.93 Co.upf
O 16.00 O.upf
ATOMIC_POSITIONS crystal
Na 0.070 0.140 0.203
Na 0.070 0.360 0.703
Na 0.076 0.066 0.940
Na 0.076 0.434 0.440
Na 0.085 0.501 0.159
Na 0.085 0.999 0.659
Na 0.104 0.671 0.829
Na 0.104 0.829 0.329
Na 0.106 0.748 0.580
Na 0.106 0.752 0.080
Na 0.394 0.248 0.580
Na 0.394 0.252 0.080
Na 0.396 0.171 0.829
Na 0.396 0.329 0.329
Na 0.415 0.001 0.159
Na 0.415 0.499 0.659
Na 0.424 0.566 0.940
Na 0.424 0.934 0.440
Na 0.430 0.640 0.203
Na 0.430 0.860 0.703
Na 0.570 0.140 0.297
Na 0.570 0.360 0.797
Na 0.576 0.066 0.560
Na 0.576 0.434 0.060
Na 0.585 0.501 0.341
Na 0.585 0.999 0.841
Na 0.604 0.671 0.671
Na 0.604 0.829 0.171
Na 0.606 0.748 0.920
Na 0.606 0.752 0.420
Na 0.894 0.248 0.920
Na 0.894 0.252 0.420
Na 0.896 0.171 0.671
Na 0.896 0.329 0.171
Na 0.915 0.001 0.341
Na 0.915 0.499 0.841
Na 0.924 0.566 0.560
Na 0.924 0.934 0.060
Na 0.930 0.640 0.297
Na 0.930 0.860 0.797
Co 0.172 0.124 0.460
Co 0.172 0.376 0.960
Co 0.328 0.624 0.460
Co 0.328 0.876 0.960
Co 0.672 0.124 0.040
Co 0.672 0.376 0.540
Co 0.828 0.624 0.040
Co 0.828 0.876 0.540
O 0.140 0.621 0.049
O 0.140 0.879 0.549
O 0.196 0.546 0.368
O 0.196 0.954 0.868
O 0.238 0.712 0.373
O 0.238 0.788 0.873
O 0.241 0.625 0.637
O 0.241 0.875 0.137
O 0.259 0.125 0.637
O 0.259 0.375 0.137
O 0.262 0.212 0.373
O 0.262 0.288 0.873
O 0.304 0.046 0.368
O 0.304 0.454 0.868
O 0.360 0.121 0.049
O 0.360 0.379 0.549
O 0.640 0.621 0.451
O 0.640 0.879 0.951
O 0.696 0.546 0.132
O 0.696 0.954 0.632
O 0.738 0.712 0.127
O 0.738 0.788 0.627
O 0.741 0.625 0.863
O 0.741 0.875 0.363
O 0.759 0.125 0.863
O 0.759 0.375 0.363
O 0.762 0.212 0.127
O 0.762 0.288 0.627
O 0.804 0.046 0.132
O 0.804 0.454 0.632
O 0.860 0.121 0.451
O 0.860 0.379 0.951
CELL_PARAMETERS angstrom
5.933 0.000 0.000
0.000 17.861 0.000
0.000 0.000 10.251
```

***

Question: Number 1 is which compound?
Answer: Na3CoO3

***

Question: Which of these has the lowest formation energy (no corrections)?
Answer: Na5CoO4

***

Question: The lowest formation energy (no corrections) belongs to which entry?
Answer: Na5CoO4